[1]
Compound: Nd4Sm4Y
Source: the Alexandria database
Functional: GGA-PBE
Structure: optimized geometry

Space group: No. 2
E above lowest polymorph (meV per atom): 84
N(E_F) (states/eV/atom): 1.716

Geometry as POSCAR:
```
Nd4Sm4Y
1.0
5.6875 0.0000 0.0000
-0.0019 6.9368 0.0000
-2.8303 -3.2728 7.8877
Nd Sm Y
4 4 1
direct
0.1331 0.4638 0.2651
0.2820 0.2088 0.5644
0.7180 0.7912 0.4356
0.8669 0.5362 0.7349
0.0755 0.8821 0.1488
0.3686 0.8086 0.7378
0.6314 0.1914 0.2622
0.9245 0.1179 0.8512
0.5000 0.5000 0.0000
```



[2]
Compound: YbTaTiO6
Source: the Alexandria database
Functional: GGA-PBE
Structure: optimized geometry

Space group: No. 14
Uncorrected formation energy (eV/atom): -2.930
N(E_F) (states/eV/atom): 1.422

Geometry as POSCAR:
```
YbTaTiO6
1.0
5.2206 0.0000 0.0000
0.0000 14.7796 0.0000
-0.0447 0.0000 5.6715
Yb Ta Ti O
4 4 4 24
direct
0.2474 0.0002 0.2224
0.2474 0.4998 0.7224
0.7526 0.9998 0.7776
0.7526 0.5002 0.2776
0.3135 0.1691 0.6743
0.3135 0.3309 0.1743
0.6865 0.6691 0.8257
0.6865 0.8309 0.3257
0.1897 0.6643 0.1838
0.1897 0.8357 0.6838
0.8103 0.1643 0.3162
0.8103 0.3357 0.8162
0.0189 0.0948 0.5652
0.0189 0.4052 0.0652
0.0884 0.5868 0.4055
0.0884 0.9132 0.9055
0.1418 0.2401 0.3660
0.1418 0.2599 0.8660
0.3641 0.7427 0.8567
0.3641 0.7573 0.3567
0.4114 0.0853 0.9044
0.4114 0.4147 0.4044
0.4793 0.5958 0.0707
0.4793 0.9042 0.5707
0.5207 0.0958 0.4293
0.5207 0.4042 0.9293
0.5886 0.5853 0.5956
0.5886 0.9147 0.0956
0.6359 0.2427 0.6433
0.6359 0.2573 0.1433
0.8582 0.7401 0.1340
0.8582 0.7599 0.6340
0.9116 0.0868 0.0945
0.9116 0.4132 0.5945
0.9811 0.5948 0.9348
0.9811 0.9052 0.4348
```



[3]
Compound: CeMg5In6
Source: the Alexandria database
Functional: GGA-PBE
Structure: optimized geometry

Space group: No. 12
N(E_F) (states/eV/atom): 0.799
Uncorrected energy (eV per atom): -2.6863

Geometry as POSCAR:
```
CeMg5In6
1.0
4.4868 -7.7870 0.0000
4.4868 7.7870 0.0000
-2.8143 0.0000 4.1772
Ce Mg In
1 5 6
direct
0.0000 0.0000 0.0000
0.1621 0.8379 0.5000
0.3232 0.6768 0.0000
0.5000 0.5000 0.5000
0.6768 0.3232 0.0000
0.8379 0.1621 0.5000
0.0943 0.4346 0.2642
0.2773 0.2773 0.7777
0.4346 0.0943 0.2642
0.5654 0.9057 0.7358
0.7227 0.7227 0.2223
0.9057 0.5654 0.7358
```



[4]
Compound: Mn2AgCl
Source: the Alexandria database
Functional: GGA-PBE
Structure: optimized geometry

Space group: No. 122
E above lowest polymorph (meV per atom): 302
Uncorrected formation energy (eV/atom): 0.410
N(E_F) (states/eV/atom): 0.758

Geometry as POSCAR:
```
Mn2AgCl
1.0
-3.5106 3.5106 3.1699
3.5106 -3.5106 3.1699
3.5106 3.5106 -3.1699
Mn Ag Cl
4 2 2
direct
0.1055 0.6250 0.9805
0.3750 0.3555 0.4805
0.6445 0.1250 0.0195
0.8750 0.8945 0.5195
0.2500 0.7500 0.5000
0.5000 0.5000 0.0000
0.0000 0.0000 0.0000
0.7500 0.2500 0.5000
```



[5]
Compound: BeAu12
Source: the Alexandria database
Functional: GGA-PBE
Structure: optimized geometry

Space group: No. 204
N(E_F) (states/eV/atom): 0.439
Uncorrected energy (eV per atom): -3.2862

Geometry as POSCAR:
```
BeAu12
1.0
-3.8739 3.8739 3.8739
3.8739 -3.8739 3.8739
3.8739 3.8739 -3.8739
Be Au
1 12
direct
0.0000 0.0000 0.0000
0.1220 0.3053 0.8167
0.1833 0.4885 0.3053
0.1833 0.8780 0.6947
0.3053 0.1833 0.4885
0.3053 0.8167 0.1220
0.4885 0.3053 0.1833
0.5115 0.6947 0.8167
0.6947 0.1833 0.8780
0.6947 0.8167 0.5115
0.8167 0.1220 0.3053
0.8167 0.5115 0.6947
0.8780 0.6947 0.1833
```



[6]
Compound: Tb2Pr2Ho7
Source: the Alexandria database
Functional: GGA-PBE
Structure: optimized geometry

Space group: No. 12
N(E_F) (states/eV/atom): 1.627
Uncorrected energy (eV per atom): -4.4734

Geometry as POSCAR:
```
Tb2Pr2Ho7
1.0
5.6202 -5.7827 0.0000
5.6202 5.7827 0.0000
-2.4636 0.0000 5.5665
Tb Pr Ho
2 2 7
direct
0.2121 0.7879 0.0000
0.7879 0.2121 0.0000
0.4048 0.4048 0.6915
0.5952 0.5952 0.3085
0.0000 0.0000 0.5000
0.0642 0.5883 0.3216
0.2292 0.2292 0.0770
0.4117 0.9358 0.6784
0.5883 0.0642 0.3216
0.7708 0.7708 0.9230
0.9358 0.4117 0.6784
```



[7]
Compound: BaLa2Cr
Source: the Alexandria database
Functional: GGA-PBE
Structure: optimized geometry

Space group: No. 122
E above lowest polymorph (meV per atom): 297
N(E_F) (states/eV/atom): 1.022

Geometry as POSCAR:
```
BaLa2Cr
1.0
-3.9320 3.9320 5.4921
3.9320 -3.9320 5.4921
3.9320 3.9320 -5.4921
Ba La Cr
2 4 2
direct
0.0000 0.0000 0.0000
0.7500 0.2500 0.5000
0.3332 0.1250 0.7082
0.3750 0.6668 0.7918
0.4168 0.6250 0.2918
0.8750 0.5832 0.2082
0.2500 0.7500 0.5000
0.5000 0.5000 0.0000
```



[8]
Compound: ZnAsBr
Source: the Alexandria database
Functional: GGA-PBE
Structure: optimized geometry

Space group: No. 107
E above lowest polymorph (meV per atom): 225
Uncorrected formation energy (eV/atom): -0.020
N(E_F) (states/eV/atom): 0.326

Geometry as POSCAR:
```
ZnAsBr
1.0
-1.8740 1.8740 5.5004
1.8740 -1.8740 5.5004
1.8740 1.8740 -5.5004
Zn As Br
1 1 1
direct
0.0000 0.0000 0.0000
0.4825 0.4825 0.0000
0.2579 0.2579 0.0000
```



[9]
Compound: CaEr2Cl8
Source: the Alexandria database
Functional: GGA-PBE
Structure: optimized geometry

Space group: No. 12
Uncorrected formation energy (eV/atom): -2.174
N(E_F) (states/eV/atom): 0.000

Geometry as POSCAR:
```
CaEr2Cl8
1.0
8.9908 -3.3749 0.0000
8.9908 3.3749 0.0000
-0.8377 0.0000 6.8771
Ca Er Cl
1 2 8
direct
0.0000 0.0000 0.0000
0.1514 0.1514 0.4690
0.8486 0.8486 0.5310
0.1307 0.1307 0.8220
0.1821 0.6759 0.7264
0.2831 0.2831 0.3968
0.3241 0.8179 0.2736
0.6759 0.1821 0.7264
0.7169 0.7169 0.6032
0.8179 0.3241 0.2736
0.8693 0.8693 0.1780
```



[10]
Compound: BaZrCl2
Source: the Alexandria database
Functional: GGA-PBE
Structure: optimized geometry

Space group: No. 65
E above lowest polymorph (meV per atom): 146
Uncorrected formation energy (eV/atom): -0.916
N(E_F) (states/eV/atom): 0.752

Geometry as POSCAR:
```
BaZrCl2
1.0
1.6903 -3.3802 0.0000
1.6903 3.3802 0.0000
0.0000 0.0000 9.5615
Ba Zr Cl
1 1 2
direct
0.0000 0.0000 0.0000
0.0000 0.0000 0.5000
0.5000 0.5000 0.2825
0.5000 0.5000 0.7175
```



[11]
Compound: Y5Ho8Tm
Source: the Alexandria database
Functional: GGA-PBE
Structure: optimized geometry

Space group: No. 82
N(E_F) (states/eV/atom): 1.528
Uncorrected energy (eV per atom): -4.9784

Geometry as POSCAR:
```
Y5Ho8Tm
1.0
-4.7774 4.7774 5.0049
4.7774 -4.7774 5.0049
4.7774 4.7774 -5.0049
Y Ho Tm
5 8 1
direct
0.0000 0.0000 0.0000
0.3106 0.6330 0.0986
0.3670 0.4657 0.6777
0.5343 0.2120 0.9014
0.7880 0.6894 0.3223
0.0233 0.4190 0.2565
0.0743 0.1576 0.7353
0.1625 0.7668 0.7435
0.2332 0.9767 0.3957
0.4223 0.3390 0.2647
0.5810 0.8375 0.6043
0.6610 0.9257 0.0833
0.8424 0.5777 0.9167
0.7500 0.2500 0.5000
```



[12]
Compound: BaSb3
Source: the Alexandria database
Functional: GGA-PBE
Structure: optimized geometry

Space group: No. 166
Uncorrected formation energy (eV/atom): -0.288
N(E_F) (states/eV/atom): 0.899

Geometry as POSCAR:
```
BaSb3
1.0
2.2130 1.2776 8.5054
-2.2130 1.2776 8.5054
0.0000 -2.5553 8.5054
Ba Sb
1 3
direct
0.0000 0.0000 0.0000
0.2365 0.2365 0.2365
0.5000 0.5000 0.5000
0.7635 0.7635 0.7635
```



[13]
Compound: SrTaW2
Source: the Alexandria database
Functional: GGA-PBE
Structure: optimized geometry

Space group: No. 99
E above lowest polymorph (meV per atom): 13
N(E_F) (states/eV/atom): 1.533

Geometry as POSCAR:
```
SrTaW2
1.0
3.2333 0.0000 0.0000
0.0000 3.2333 0.0000
0.0000 0.0000 8.3435
Sr Ta W
1 1 2
direct
0.0000 0.0000 0.0000
0.5000 0.5000 0.3383
0.0000 0.0000 0.5266
0.5000 0.5000 0.6955
```



[14]
Compound: La3Nd2Pb4
Source: the Alexandria database
Functional: GGA-PBE
Structure: optimized geometry

Space group: No. 12
E above lowest polymorph (meV per atom): 0
N(E_F) (states/eV/atom): 0.567

Geometry as POSCAR:
```
La3Nd2Pb4
1.0
8.5673 -2.5886 0.0000
8.5673 2.5886 0.0000
-1.7415 0.0000 6.8784
La Nd Pb
3 2 4
direct
0.0000 0.0000 0.0000
0.1181 0.1181 0.5732
0.8819 0.8819 0.4268
0.3360 0.3360 0.9198
0.6640 0.6640 0.0802
0.2480 0.2480 0.2870
0.4957 0.4957 0.7130
0.5043 0.5043 0.2870
0.7520 0.7520 0.7130
```



[15]
Compound: Li2LaH6
Source: the Alexandria database
Functional: GGA-PBE
Structure: optimized geometry

Space group: No. 225
N(E_F) (states/eV/atom): 0.306
Uncorrected energy (eV per atom): -2.7609

Geometry as POSCAR:
```
Li2LaH6
1.0
0.0000 3.9307 3.9307
3.9307 0.0000 3.9307
3.9307 3.9307 0.0000
Li La H
2 1 6
direct
0.2500 0.2500 0.2500
0.7500 0.7500 0.7500
0.0000 0.0000 0.0000
0.2877 0.2877 0.7123
0.2877 0.7123 0.2877
0.2877 0.7123 0.7123
0.7123 0.2877 0.2877
0.7123 0.2877 0.7123
0.7123 0.7123 0.2877
```



[16]
Compound: ErSc4Ru5
Source: the Alexandria database
Functional: GGA-PBE
Structure: optimized geometry

Space group: No. 123
N(E_F) (states/eV/atom): 1.315
Uncorrected energy (eV per atom): -8.1247

Geometry as POSCAR:
```
ErSc4Ru5
1.0
3.2454 0.0000 0.0000
0.0000 3.2454 0.0000
0.0000 0.0000 16.2025
Er Sc Ru
1 4 5
direct
0.0000 0.0000 0.0000
0.0000 0.0000 0.2053
0.0000 0.0000 0.4018
0.0000 0.0000 0.5982
0.0000 0.0000 0.7947
0.5000 0.5000 0.1079
0.5000 0.5000 0.3039
0.5000 0.5000 0.5000
0.5000 0.5000 0.6961
0.5000 0.5000 0.8921
```



[17]
Compound: CdBrF
Source: the Alexandria database
Functional: GGA-PBE
Structure: optimized geometry

Space group: No. 10
E above lowest polymorph (meV per atom): 15
Uncorrected formation energy (eV/atom): -1.492
N(E_F) (states/eV/atom): 0.000

Geometry as POSCAR:
```
CdBrF
1.0
6.2587 0.0000 0.0000
0.0000 3.8061 0.0000
-1.0465 0.0000 6.3196
Cd Br F
2 2 2
direct
0.0000 0.0000 0.0000
0.0000 0.5000 0.5000
0.2792 0.0000 0.7119
0.7208 0.0000 0.2881
0.1416 0.5000 0.1927
0.8584 0.5000 0.8073
```



[18]
Compound: TaW3S
Source: the Alexandria database
Functional: GGA-PBE
Structure: optimized geometry

Space group: No. 221
E above lowest polymorph (meV per atom): 1865
Uncorrected formation energy (eV/atom): 2.626
N(E_F) (states/eV/atom): 1.587

Geometry as POSCAR:
```
TaW3S
1.0
4.8179 0.0000 0.0000
0.0000 4.8179 0.0000
0.0000 0.0000 4.8179
Ta W S
1 3 1
direct
0.0000 0.0000 0.0000
0.0000 0.0000 0.5000
0.0000 0.5000 0.0000
0.5000 0.0000 0.0000
0.5000 0.5000 0.5000
```



[19]
Compound: TbPr2Er5Sc
Source: the Alexandria database
Functional: GGA-PBE
Structure: optimized geometry

Space group: No. 36
N(E_F) (states/eV/atom): 1.326
Uncorrected energy (eV per atom): -4.6597

Geometry as POSCAR:
```
TbPr2Er5Sc
1.0
2.7767 -9.9172 0.0000
2.7767 9.9172 0.0000
0.0000 0.0000 10.4003
Tb Pr Er Sc
2 4 10 2
direct
0.0899 0.9101 0.5000
0.9101 0.0899 0.0000
0.3847 0.6153 0.7752
0.3870 0.6130 0.3556
0.6130 0.3870 0.8556
0.6153 0.3847 0.2752
0.0176 0.9824 0.7810
0.1238 0.8762 0.0602
0.2017 0.7983 0.7435
0.2239 0.7761 0.3615
0.4836 0.5164 0.0597
0.5164 0.4836 0.5597
0.7761 0.2239 0.8615
0.7983 0.2017 0.2435
0.8762 0.1238 0.5602
0.9824 0.0176 0.2810
0.3034 0.6966 0.0551
0.6966 0.3034 0.5551
```



[20]
Compound: NdHoEr
Source: the Alexandria database
Functional: GGA-PBE
Structure: optimized geometry

Space group: No. 107
E above lowest polymorph (meV per atom): 3
N(E_F) (states/eV/atom): 1.379

Geometry as POSCAR:
```
NdHoEr
1.0
-1.7861 1.7861 7.5744
1.7861 -1.7861 7.5744
1.7861 1.7861 -7.5744
Nd Ho Er
1 1 1
direct
0.0000 0.0000 0.0000
0.6690 0.6690 0.0000
0.3316 0.3316 0.0000
```



[21]
Compound: WCl5
Source: the Alexandria database
Functional: GGA-PBE
Structure: optimized geometry

Space group: No. 12
E above lowest polymorph (meV per atom): 0
Uncorrected formation energy (eV/atom): -0.826
N(E_F) (states/eV/atom): 0.711

Geometry as POSCAR:
```
WCl5
1.0
9.4488 -9.2957 0.0000
9.4488 9.2957 0.0000
-0.6655 0.0000 6.6057
W Cl
6 30
direct
0.1048 0.8952 0.0000
0.2279 0.4373 0.4322
0.4373 0.2279 0.4322
0.5627 0.7721 0.5678
0.7721 0.5627 0.5678
0.8952 0.1048 0.0000
0.0231 0.8375 0.7003
0.0705 0.0705 0.8791
0.0764 0.4472 0.2507
0.1117 0.7401 0.1264
0.1625 0.9769 0.2997
0.1639 0.3500 0.6782
0.2169 0.5890 0.6123
0.2599 0.8883 0.8736
0.2653 0.2653 0.2608
0.3157 0.5013 0.1869
0.3500 0.1639 0.6782
0.3999 0.3999 0.6045
0.4110 0.7831 0.3877
0.4472 0.0764 0.2507
0.4987 0.6843 0.8131
0.5013 0.3157 0.1869
0.5528 0.9236 0.7493
0.5890 0.2169 0.6123
0.6001 0.6001 0.3955
0.6500 0.8361 0.3218
0.6843 0.4987 0.8131
0.7347 0.7347 0.7392
0.7401 0.1117 0.1264
0.7831 0.4110 0.3877
0.8361 0.6500 0.3218
0.8375 0.0231 0.7003
0.8883 0.2599 0.8736
0.9236 0.5528 0.7493
0.9295 0.9295 0.1209
0.9769 0.1625 0.2997
```



What M_tot values result from the calculations? In sequence: 0.000; 4.241; 0.883; 17.864; 0.000; 0.000; 0.000; 0.000; 0.000; 0.000; 0.000; 0.000; 0.008; 0.000; 0.000; 0.000; 0.000; 0.000; 0.000; 0.000; 6.037 μB/cell.